Here is SrIrPt2 after structural relaxation from Alexandria via LeMat-Bulk. Energies are from GGA-PBE.

## Properties
Total moment   0.000 μB per cell
E_form   0.113 eV/atom
Crystal system   tetragonal
DOS(E_F)   6.14 states/eV per cell
Space-group type   No. 119
E above lowest polymorph   208 meV per atom

```
SrIrPt2
1.0
5.1654 -0.0037 0.0000
1.7649 4.8546 0.0000
-3.4652 -2.4255 2.9651
Ir Pt Sr
1 2 1
Direct
0.7500 0.2500 0.5000 Ir
0.0000 0.0000 0.0000 Pt
0.2500 0.7500 0.5000 Pt
0.5000 0.5000 0.0000 Sr
```